# 1
VASP calculation (meta-GGA SCAN) on K2ZrRh at its PBEsol-relaxed geometry.

Calculated values
final energy	-20.22	eV per atom
energy of formation	1.4	kcal/mol of atoms
space-group type	P4mm

Geometry as POSCAR:
```
K2ZrRh
1.0
3.4206 0.0000 0.0000
0.0000 3.4206 0.0000
0.0000 0.0000 10.9394
K Rh Zr
2 1 1
direct
0.0000 0.0000 0.9516 K
0.5000 0.5000 0.3328 K
0.0000 0.0000 0.5584 Rh
0.5000 0.5000 0.6572 Zr
```

# 2
VASP calculation (meta-GGA SCAN) on Ti3PbO7 at its PBEsol-relaxed geometry.

Calculated values
final energy	-18.19	eV per atom
E_form (uncorrected)	-32.6	eV per formula unit
space-group type	P2_1/m

Geometry as POSCAR:
```
Ti3PbO7
1.0
-0.0937 3.6522 1.0338
-6.1293 0.5187 -2.3884
-2.5212 -2.9004 10.0184
Ti Pb O
6 2 14
direct
0.2500 0.4489 0.1016 Ti
0.7500 0.5511 0.8984 Ti
0.2500 0.3074 0.4346 Ti
0.7500 0.6926 0.5654 Ti
0.2500 0.7471 0.3448 Ti
0.7500 0.2529 0.6552 Ti
0.2500 0.9967 0.8495 Pb
0.7500 0.0033 0.1505 Pb
0.2500 0.5254 0.9262 O
0.7500 0.4746 0.0738 O
0.2500 0.2545 0.6169 O
0.7500 0.7455 0.3831 O
0.2500 0.6428 0.5212 O
0.7500 0.3572 0.4788 O
0.2500 0.1671 0.0570 O
0.7500 0.8329 0.9430 O
0.2500 0.0451 0.3698 O
0.7500 0.9549 0.6302 O
0.2500 0.4348 0.2856 O
0.7500 0.5652 0.7144 O
0.2500 0.7504 0.1752 O
0.7500 0.2496 0.8248 O
```

# 3
VASP calculation (meta-GGA SCAN) on TeMoPtI2 at its PBEsol-relaxed geometry.

Calculated values
final energy	-42.34	eV per atom
E_form (uncorrected)	4.1	eV per formula unit
space-group type	P4/mmm

Geometry as POSCAR:
```
TeMoPtI2
1.0
5.3116 0.0000 0.0000
0.0000 5.3252 0.0000
0.0000 0.0000 5.3252
I Mo Te Pt
2 1 1 1
direct
0.0000 0.0000 0.5000 I
0.0000 0.5000 0.0000 I
0.5000 0.5000 0.5000 Mo
0.5000 0.0000 0.0000 Te
0.0000 0.0000 0.0000 Pt
```